The following is a GGA+U calculation of crystalline SrLi2CoF8 at its relaxed geometry, from Alexandria.

Values from the calculation:
DFT total energy   -4.725 eV/atom
Density   3310 kg/m³

Cell: 4.7999 4.8205 6.9228 Å, 83.70 83.79 81.45°
Last column: nearest neighbours and their distance in Å.
Element x y z (fractional)
Sr: 0.0000 0.0000 0.0000  6 F 2.38-2.49
Li: 0.4564 0.4566 0.2210  5 F 1.95-2.12
Li: 0.5436 0.5434 0.7790  5 F 1.95-2.12
Co: 0.0000 0.0000 0.5000  6 F 1.77-1.83
F: 0.1983 0.7942 0.6922  1 Co 1.83, 1 Li 2.01
F: 0.2065 0.8020 0.3085  1 Co 1.83, 1 Li 2.01
F: 0.2460 0.2457 0.4662  1 Co 1.77
F: 0.3287 0.3260 0.9937  2 Li 1.95-2.00
F: 0.6713 0.6740 0.0063  2 Li 1.95-2.00
F: 0.7540 0.7543 0.5338  1 Co 1.77
F: 0.7935 0.1980 0.6915  1 Co 1.83, 1 Li 2.01
F: 0.8017 0.2058 0.3078  1 Co 1.83, 1 Li 2.01